(1)
This record from Alexandria via LeMat-Bulk describes a relaxed structure of Pm2MnAl. The functional is PBE.

abc: 3.684 3.684 7.297
angles: 90.00 90.00 90.00
Fractional positions:
Pm 0.000 0.000 0.744
Pm 0.000 0.000 0.256
Mn 0.500 0.500 0.500
Al 0.500 0.500 0.000

Computed properties:
- V: 99.1 Å³ per cell
- Final energy: -5.63 eV/atom
- ΔE_f: -0.029 eV/atom



(2)
This record from Alexandria via LeMat-Bulk describes a relaxed structure of PdCl3. The functional is PBE.

abc: 11.864 11.864 11.864
angles: 14.64 14.64 14.64
Fractional positions:
Pd 0.000 0.000 0.000
Cl 0.064 0.064 0.064
Cl 0.936 0.936 0.936
Cl 0.500 0.500 0.500

Computed properties:
- V: 93.0 Å³ per cell
- Final energy: -2.48 eV/atom
- Uncorrected formation energy: 204 meV/atom



(3)
This record from Alexandria via LeMat-Bulk describes a relaxed structure of PRuO2F. The functional is PBE.

abc: 3.877 3.877 4.188
angles: 90.00 90.00 90.00
Fractional positions:
F 0.000 0.000 0.500
O 0.000 0.500 0.000
P 0.500 0.500 0.500
Ru 0.000 0.000 0.000
O 0.500 0.000 0.000

Computed properties:
- V: 63.0 Å³ per cell
- Final energy: -5.38 eV/atom
- Uncorrected formation energy: -89 meV/atom



(4)
This record from Alexandria via LeMat-Bulk describes a relaxed structure of Ce6GeBi2Te3. The functional is PBE.

abc: 4.504 8.986 10.037
angles: 102.37 102.97 90.00
Fractional positions:
Ce 0.666 0.586 0.331
Bi 0.166 0.334 0.332
Ce 0.003 0.771 0.005
Te 0.171 0.836 0.342
Ce 0.334 0.414 0.669
Ge 0.500 0.000 0.000
Bi 0.834 0.666 0.668
Te 0.829 0.164 0.658
Ce 0.997 0.229 0.995
Ce 0.658 0.077 0.315
Te 0.500 0.500 0.000
Ce 0.342 0.923 0.685

Computed properties:
- V: 386.2 Å³ per cell
- Final energy: -5.86 eV/atom
- Uncorrected formation energy: -1076 meV/atom



Please write out number 3 again, unchanged.
This record from Alexandria via LeMat-Bulk describes a relaxed structure of PRuO2F. The functional is PBE.

abc: 3.877 3.877 4.188
angles: 90.00 90.00 90.00
Fractional positions:
F 0.000 0.000 0.500
O 0.000 0.500 0.000
P 0.500 0.500 0.500
Ru 0.000 0.000 0.000
O 0.500 0.000 0.000

Computed properties:
- V: 63.0 Å³ per cell
- Final energy: -5.38 eV/atom
- Uncorrected formation energy: -89 meV/atom